A plane-wave DFT calculation with meta-GGA SCAN was carried out for a crystal of Al3GeSe relaxed with PBEsol.

a = 4.8809 Å, b = 4.8809 Å, c = 4.8809 Å
α = 90.00°, β = 90.00°, γ = 90.00°
Closest atoms and distances in Å follow each position.
Fractional coordinates of all 5 atoms:
Al1 0.5000 0.0000 0.0000  2 Se 2.44
Se1 0.0000 0.0000 0.0000  6 Al 2.44
Ge1 0.5000 0.5000 0.5000  12 Al 3.45
Al2 0.0000 0.0000 0.5000  2 Se 2.44
Al3 0.0000 0.5000 0.0000  2 Se 2.44

Output
Raw formation energy ... 363.9 kJ/mol of formula units
Total magnetic moment ... 0.000 Bohr magnetons per cell
VASP energy ... -11.730 eV/atom
D(E_F) ... 2.8 states/eV/cell
Crystal system ... cubic

---

A plane-wave DFT calculation with meta-GGA SCAN was carried out for a crystal of AlGeSe2 relaxed with PBEsol.

a = 3.5429 Å, b = 3.5429 Å, c = 8.5423 Å
α = 78.03°, β = 78.03°, γ = 60.00°
Closest atoms and distances in Å follow each position.
Fractional coordinates of all 4 atoms:
Se1 0.1083 0.1083 0.6751  3 Al 2.51, 1 Ge 2.69
Ge1 0.0000 0.0000 0.0000  2 Se 2.69
Se2 0.8917 0.8917 0.3249  3 Al 2.51, 1 Ge 2.69
Al1 0.5000 0.5000 0.5000  6 Se 2.51

Output
Raw formation energy ... -138.5 kJ/mol of formula units
Total magnetic moment ... 0.000 Bohr magnetons per cell
VASP energy ... -17.108 eV/atom
D(E_F) ... 1.8 states/eV/cell
Crystal system ... trigonal

---

- Number 1 is which compound?
  Al3GeSe